(1)
The following is a DFT calculation (PBE) of a relaxed Zn3Cd3Sn crystal.

Computed properties:
As for the energy: -1.0025 eV per atom. The spin magnetization is 0.000 μB per formula unit. Its symmetry is Pm-3n, No. 223.

Lattice parameters (Å, degrees): 7.416 7.416 7.416 90.00 90.00 90.00
Element x y z (fractional)
Zn: 0.000 0.250 0.500
Zn: 0.000 0.750 0.500
Zn: 0.250 0.500 0.000
Zn: 0.500 0.000 0.250
Zn: 0.500 0.000 0.750
Zn: 0.750 0.500 0.000
Cd: 0.000 0.500 0.250
Cd: 0.000 0.500 0.750
Cd: 0.250 0.000 0.500
Cd: 0.500 0.250 0.000
Cd: 0.500 0.750 0.000
Cd: 0.750 0.000 0.500
Sn: 0.000 0.000 0.000
Sn: 0.500 0.500 0.500


(2)
The following is a DFT calculation (PBE) of a relaxed ZnCdSn2 crystal.

Computed properties:
As for the energy: -2.4197 eV per atom. The spin magnetization is 0.000 μB per formula unit. Its symmetry is I-42d, No. 122.

Lattice parameters (Å, degrees): 6.471 6.471 6.471 102.91 102.91 123.59
Element x y z (fractional)
Zn: 0.000 0.000 0.000
Zn: 0.750 0.250 0.500
Cd: 0.250 0.750 0.500
Cd: 0.500 0.500 0.000
Sn: 0.093 0.625 0.968
Sn: 0.375 0.343 0.468
Sn: 0.657 0.125 0.032
Sn: 0.875 0.907 0.532


(3)
The following is a DFT calculation (PBE) of a relaxed Zn3Cd5Sn12 crystal.

Computed properties:
As for the energy: -2.6525 eV per atom. The spin magnetization is 0.000 μB per formula unit. Its symmetry is Ia-3d, No. 230.

Lattice parameters (Å, degrees): 14.567 14.567 14.567 109.47 109.47 109.47
Element x y z (fractional)
Zn: 0.125 0.250 0.375
Zn: 0.125 0.375 0.750
Zn: 0.250 0.375 0.125
Zn: 0.250 0.875 0.625
Zn: 0.375 0.125 0.250
Zn: 0.375 0.750 0.125
Zn: 0.625 0.250 0.875
Zn: 0.625 0.875 0.750
Zn: 0.750 0.125 0.375
Zn: 0.750 0.625 0.875
Zn: 0.875 0.625 0.250
Zn: 0.875 0.750 0.625
Cd: 0.000 0.000 0.000
Cd: 0.000 0.000 0.500
Cd: 0.000 0.500 0.000
Cd: 0.000 0.500 0.500
Cd: 0.125 0.750 0.875
Cd: 0.125 0.875 0.250
Cd: 0.250 0.125 0.875
Cd: 0.250 0.625 0.375
Cd: 0.375 0.250 0.625
Cd: 0.375 0.625 0.750
Cd: 0.500 0.000 0.000
Cd: 0.500 0.000 0.500
Cd: 0.500 0.500 0.000
Cd: 0.500 0.500 0.500
Cd: 0.625 0.375 0.250
Cd: 0.625 0.750 0.375
Cd: 0.750 0.375 0.625
Cd: 0.750 0.875 0.125
Cd: 0.875 0.125 0.750
Cd: 0.875 0.250 0.125
Sn: 0.060 0.630 0.391
Sn: 0.060 0.930 0.669
Sn: 0.070 0.238 0.130
Sn: 0.070 0.331 0.940
Sn: 0.109 0.738 0.669
Sn: 0.109 0.870 0.440
Sn: 0.130 0.070 0.238
Sn: 0.130 0.560 0.891
Sn: 0.169 0.238 0.609
Sn: 0.169 0.430 0.560
Sn: 0.238 0.130 0.070
Sn: 0.238 0.609 0.169
Sn: 0.262 0.331 0.891
Sn: 0.262 0.430 0.370
Sn: 0.331 0.891 0.262
Sn: 0.331 0.940 0.070
Sn: 0.370 0.262 0.430
Sn: 0.370 0.609 0.940
Sn: 0.391 0.060 0.630
Sn: 0.391 0.831 0.762
Sn: 0.430 0.370 0.262
Sn: 0.430 0.560 0.169
Sn: 0.440 0.109 0.870
Sn: 0.440 0.831 0.570
Sn: 0.560 0.169 0.430
Sn: 0.560 0.891 0.130
Sn: 0.570 0.440 0.831
Sn: 0.570 0.630 0.738
Sn: 0.609 0.169 0.238
Sn: 0.609 0.940 0.370
Sn: 0.630 0.391 0.060
Sn: 0.630 0.738 0.570
Sn: 0.669 0.060 0.930
Sn: 0.669 0.109 0.738
Sn: 0.738 0.570 0.630
Sn: 0.738 0.669 0.109
Sn: 0.762 0.391 0.831
Sn: 0.762 0.870 0.930
Sn: 0.831 0.570 0.440
Sn: 0.831 0.762 0.391
Sn: 0.870 0.440 0.109
Sn: 0.870 0.930 0.762
Sn: 0.891 0.130 0.560
Sn: 0.891 0.262 0.331
Sn: 0.930 0.669 0.060
Sn: 0.930 0.762 0.870
Sn: 0.940 0.070 0.331
Sn: 0.940 0.370 0.609


(4)
The following is a DFT calculation (PBE) of a relaxed ZnCdSn2 crystal.

Computed properties:
As for the energy: -2.4244 eV per atom. The spin magnetization is 0.000 μB per formula unit. Its symmetry is C2/c, No. 15.

Lattice parameters (Å, degrees): 6.558 6.558 6.470 104.06 104.06 48.61
Element x y z (fractional)
Zn: 0.112 0.888 0.750
Zn: 0.888 0.112 0.250
Cd: 0.396 0.604 0.250
Cd: 0.604 0.396 0.750
Sn: 0.204 0.210 0.103
Sn: 0.210 0.204 0.603
Sn: 0.790 0.796 0.397
Sn: 0.796 0.790 0.897


The calculation returns the following DFT formation energy values, one per record and in order: 0.51, 0.13, 0.17, 0.12 eV/atom.